Entry 1:
Computed, not measured: a relaxed VFeRu3 crystal at the PBE-GGA level of DFT.

Unit cell a=4.370 b=4.370 c=4.370 alpha=90.00 beta=90.00 gamma=90.00
Fractional positions:
V 0.000 0.000 0.000
Fe 0.500 0.500 0.500
Ru 0.000 0.500 0.500
Ru 0.500 0.000 0.500
Ru 0.500 0.500 0.000

Values from the calculation:
Formation energy ... 29.83 kcal/mol of atoms
Volume ... 16.69 A^3/atom
Polymorph energy (0 for the lowest one) ... 1351.3 meV per atom
Fermi-level density of states ... 8.605 states/eV/f.u.

Entry 2:
Computed, not measured: a relaxed LaHoCuGe crystal at the PBE-GGA level of DFT.

Unit cell a=5.106 b=5.106 c=5.106 alpha=60.00 beta=60.00 gamma=60.00
Fractional positions:
La 0.000 0.000 0.000
Ho 0.500 0.500 0.500
Cu 0.750 0.750 0.750
Ge 0.250 0.250 0.250

Values from the calculation:
Formation energy ... -10.79 kcal/mol of atoms
Volume ... 23.53 A^3/atom
Fermi-level density of states ... 3.838 states/eV/f.u.

Entry 3:
Computed, not measured: a relaxed Tb6Hg5Bi crystal at the PBE-GGA level of DFT.

Unit cell a=9.230 b=9.230 c=5.342 alpha=106.73 beta=106.73 gamma=47.57
Fractional positions:
Tb 0.079 0.583 0.331
Tb 0.245 0.755 0.000
Tb 0.417 0.921 0.669
Tb 0.583 0.079 0.331
Tb 0.755 0.245 0.000
Tb 0.921 0.417 0.669
Hg 0.000 0.000 0.500
Hg 0.167 0.167 0.167
Hg 0.327 0.327 0.827
Hg 0.673 0.673 0.173
Hg 0.833 0.833 0.833
Bi 0.500 0.500 0.500

Values from the calculation:
Formation energy ... -11.67 kcal/mol of atoms
Volume ... 26.57 A^3/atom
Fermi-level density of states ... 13.084 states/eV/f.u.